(1)
Density functional theory data (PBE) for a relaxed NaLiTi2 crystal.

Properties
V   305.8 Å³ per cell
DOS at the Fermi energy   1.01 states/eV/atom
Calculated density   2.7 g cm⁻³

a = 6.737 Å, b = 6.737 Å, c = 6.737 Å
α = 90.00°, β = 90.00°, γ = 90.00°
Space group Fm-3m (No. 225)
Unique sites:
Na: 0.000 0.000 0.000 [4 per cell]
Li: 0.000 0.000 0.500 [4 per cell]
Ti: 0.250 0.250 0.250 [8 per cell]

***

(2)
Density functional theory data (PBE) for a relaxed NaLiTi2 crystal.

Properties
V   304.1 Å³ per cell
DOS at the Fermi energy   0.92 states/eV/atom
Calculated density   2.7 g cm⁻³

a = 7.799 Å, b = 7.799 Å, c = 4.999 Å
α = 90.00°, β = 90.00°, γ = 90.00°
Space group I-42d (No. 122)
Unique sites:
Na: 0.000 0.000 0.000 [4 per cell]
Li: 0.000 0.000 0.500 [4 per cell]
Ti: 0.243 0.250 0.625 [8 per cell]

***

Stability verdict: (2), ahead by 0.016 eV/atom

***

(1)
Density functional theory data (PBE) for a relaxed Na2LiTl8 crystal.

Properties
V   308.3 Å³ per cell
DOS at the Fermi energy   0.31 states/eV/atom
Calculated density   9.1 g cm⁻³

a = 4.925 Å, b = 4.925 Å, c = 12.713 Å
α = 90.00°, β = 90.00°, γ = 90.00°
Space group P4/mmm (No. 123)
Unique sites:
Na: 0.000 0.000 0.187 [2 per cell]
Li: 0.000 0.000 0.500 [1 per cell]
Tl: 0.000 0.500 0.000 [2 per cell]
Tl: 0.000 0.500 0.372 [4 per cell]
Tl: 0.500 0.500 0.185 [2 per cell]

***

(2)
Density functional theory data (PBE) for a relaxed Na2LiTl8 crystal.

Properties
V   686.0 Å³ per cell
DOS at the Fermi energy   0.43 states/eV/atom
Calculated density   8.2 g cm⁻³

a = 12.589 Å, b = 9.886 Å, c = 5.882 Å
α = 90.00°, β = 110.41°, γ = 90.00°
Space group C2/m (No. 12)
Unique sites:
Na: 0.144 0.000 0.027 [4 per cell]
Li: 0.000 0.000 0.500 [2 per cell]
Tl: 0.082 0.244 0.328 [8 per cell]
Tl: 0.087 0.500 0.798 [4 per cell]
Tl: 0.240 0.500 0.380 [4 per cell]

***

Stability verdict: (1), ahead by 0.098 eV/atom

***

(1)
Density functional theory data (PBE) for a relaxed NaLiTl4 crystal.

Properties
V   350.6 Å³ per cell
DOS at the Fermi energy   0.47 states/eV/atom
Calculated density   8.0 g cm⁻³

a = 8.424 Å, b = 4.827 Å, c = 9.073 Å
α = 90.00°, β = 108.13°, γ = 90.00°
Space group C2/m (No. 12)
Unique sites:
Na: 0.000 0.000 0.000 [2 per cell]
Li: 0.000 0.500 0.500 [2 per cell]
Tl: 0.112 0.500 0.828 [4 per cell]
Tl: 0.133 0.000 0.400 [4 per cell]

***

(2)
Density functional theory data (PBE) for a relaxed NaLiTl4 crystal.

Properties
V   755.5 Å³ per cell
DOS at the Fermi energy   0.51 states/eV/atom
Calculated density   7.5 g cm⁻³

a = 9.108 Å, b = 9.108 Å, c = 9.108 Å
α = 90.00°, β = 90.00°, γ = 90.00°
Space group F-43m (No. 216)
Unique sites:
Na: 0.000 0.000 0.000 [4 per cell]
Li: 0.250 0.250 0.750 [4 per cell]
Tl: 0.125 0.125 0.375 [16 per cell]

***

(3)
Density functional theory data (PBE) for a relaxed NaLiTl4 crystal.

Properties
V   323.2 Å³ per cell
DOS at the Fermi energy   0.28 states/eV/atom
Calculated density   8.7 g cm⁻³

a = 12.214 Å, b = 3.651 Å, c = 7.594 Å
α = 90.00°, β = 107.42°, γ = 90.00°
Space group C2/m (No. 12)
Unique sites:
Na: 0.000 0.000 0.000 [2 per cell]
Li: 0.000 0.000 0.500 [2 per cell]
Tl: 0.153 0.500 0.347 [4 per cell]
Tl: 0.167 0.500 0.819 [4 per cell]

***

Stability verdict: (3), ahead by 0.125 eV/atom

***

(1)
Density functional theory data (PBE) for a relaxed Na6LiTl crystal.

Properties
V   506.6 Å³ per cell
DOS at the Fermi energy   0.57 states/eV/atom
Calculated density   2.3 g cm⁻³

a = 6.992 Å, b = 7.014 Å, c = 10.853 Å
α = 90.00°, β = 107.87°, γ = 90.00°
Space group C2/m (No. 12)
Unique sites:
Na: 0.142 0.250 0.279 [8 per cell]
Na: 0.249 0.000 0.997 [4 per cell]
Li: 0.000 0.500 0.500 [2 per cell]
Tl: 0.000 0.000 0.500 [2 per cell]

***

(2)
Density functional theory data (PBE) for a relaxed Na6LiTl crystal.

Properties
V   252.5 Å³ per cell
DOS at the Fermi energy   0.34 states/eV/atom
Calculated density   2.3 g cm⁻³

a = 5.077 Å, b = 5.077 Å, c = 9.796 Å
α = 90.00°, β = 90.00°, γ = 90.00°
Space group P4/mmm (No. 123)
Unique sites:
Na: 0.000 0.000 0.000 [1 per cell]
Na: 0.000 0.000 0.500 [1 per cell]
Na: 0.000 0.500 0.245 [4 per cell]
Li: 0.500 0.500 0.500 [1 per cell]
Tl: 0.500 0.500 0.000 [1 per cell]

***

Stability verdict: (1), ahead by 0.006 eV/atom

***

(1)
Density functional theory data (PBE) for a relaxed Na2LiTl3 crystal.

Properties
V   312.3 Å³ per cell
DOS at the Fermi energy   0.59 states/eV/atom
Calculated density   7.1 g cm⁻³

a = 5.163 Å, b = 15.784 Å, c = 3.832 Å
α = 90.00°, β = 90.00°, γ = 90.00°
Space group Cmmm (No. 65)
Unique sites:
Na: 0.000 0.176 0.000 [4 per cell]
Li: 0.000 0.500 0.000 [2 per cell]
Tl: 0.000 0.000 0.500 [2 per cell]
Tl: 0.000 0.356 0.500 [4 per cell]

***

(2)
Density functional theory data (PBE) for a relaxed Na2LiTl3 crystal.

Properties
V   311.1 Å³ per cell
DOS at the Fermi energy   0.48 states/eV/atom
Calculated density   7.1 g cm⁻³

a = 5.076 Å, b = 8.007 Å, c = 8.055 Å
α = 90.00°, β = 108.14°, γ = 90.00°
Space group P2/m (No. 10)
Unique sites:
Na: 0.000 0.000 0.000 [1 per cell]
Na: 0.000 0.500 0.000 [1 per cell]
Na: 0.335 0.000 0.668 [2 per cell]
Li: 0.338 0.500 0.675 [2 per cell]
Tl: 0.174 0.281 0.351 [4 per cell]
Tl: 0.500 0.264 0.000 [2 per cell]

***

Stability verdict: (2), ahead by 0.006 eV/atom

***

(1)
Density functional theory data (PBE) for a relaxed NaLi2Tl5 crystal.

Properties
V   811.3 Å³ per cell
DOS at the Fermi energy   0.54 states/eV/atom
Calculated density   8.7 g cm⁻³

a = 7.969 Å, b = 7.969 Å, c = 12.776 Å
α = 90.00°, β = 90.00°, γ = 90.00°
Space group I4/mcm (No. 140)
Unique sites:
Na: 0.000 0.000 0.250 [4 per cell]
Li: 0.142 0.358 0.000 [8 per cell]
Tl: 0.000 0.000 0.000 [4 per cell]
Tl: 0.154 0.346 0.350 [16 per cell]

***

(2)
Density functional theory data (PBE) for a relaxed NaLi2Tl5 crystal.

Properties
V   210.7 Å³ per cell
DOS at the Fermi energy   0.58 states/eV/atom
Calculated density   8.3 g cm⁻³

a = 6.663 Å, b = 6.675 Å, c = 6.676 Å
α = 119.84°, β = 90.16°, γ = 119.85°
Space group P1 (No. 1)
Unique sites:
Na: 0.000 0.000 0.000 [1 per cell]
Li: 0.000 0.500 0.999 [1 per cell]
Li: 0.500 0.500 0.499 [1 per cell]
Tl: 0.000 0.500 0.499 [1 per cell]
Tl: 0.499 0.999 0.498 [1 per cell]
Tl: 0.500 0.000 0.999 [1 per cell]
Tl: 0.500 0.500 0.999 [1 per cell]
Tl: 0.999 0.000 0.500 [1 per cell]

***

Stability verdict: (1), ahead by 0.032 eV/atom

***

(1)
Density functional theory data (PBE) for a relaxed Na4LiTl2 crystal.

Properties
V   427.9 Å³ per cell
DOS at the Fermi energy   0.42 states/eV/atom
Calculated density   3.9 g cm⁻³

a = 6.597 Å, b = 9.306 Å, c = 7.280 Å
α = 90.00°, β = 106.75°, γ = 90.00°
Space group P2_1/c (No. 14)
Unique sites:
Na: 0.104 0.182 0.062 [4 per cell]
Na: 0.372 0.653 0.863 [4 per cell]
Li: 0.500 0.000 0.000 [2 per cell]
Tl: 0.165 0.518 0.186 [4 per cell]

***

(2)
Density functional theory data (PBE) for a relaxed Na4LiTl2 crystal.

Properties
V   404.0 Å³ per cell
DOS at the Fermi energy   0.42 states/eV/atom
Calculated density   4.2 g cm⁻³

a = 8.548 Å, b = 6.149 Å, c = 8.619 Å
α = 90.00°, β = 116.91°, γ = 90.00°
Space group P2_1/m (No. 11)
Unique sites:
Na: 0.092 0.250 0.075 [2 per cell]
Na: 0.146 0.502 0.719 [4 per cell]
Na: 0.265 0.750 0.340 [2 per cell]
Li: 0.492 0.250 0.248 [2 per cell]
Tl: 0.318 0.250 0.494 [2 per cell]
Tl: 0.447 0.750 0.080 [2 per cell]

***

Stability verdict: (1), ahead by 0.012 eV/atom

***

(1)
Density functional theory data (PBE) for a relaxed Na5Li2Tl12 crystal.

Properties
V   1087.6 Å³ per cell
DOS at the Fermi energy   0.36 states/eV/atom
Calculated density   7.9 g cm⁻³

a = 16.478 Å, b = 9.031 Å, c = 7.910 Å
α = 90.00°, β = 112.50°, γ = 90.00°
Space group C2/m (No. 12)
Unique sites:
Na: 0.000 0.000 0.000 [2 per cell]
Na: 0.198 0.500 0.699 [4 per cell]
Na: 0.225 0.500 0.263 [4 per cell]
Li: 0.000 0.299 0.500 [4 per cell]
Tl: 0.016 0.500 0.213 [4 per cell]
Tl: 0.075 0.000 0.682 [4 per cell]
Tl: 0.141 0.189 0.376 [8 per cell]
Tl: 0.142 0.255 0.959 [8 per cell]

***

(2)
Density functional theory data (PBE) for a relaxed Na5Li2Tl12 crystal.

Properties
V   1091.2 Å³ per cell
DOS at the Fermi energy   0.40 states/eV/atom
Calculated density   7.9 g cm⁻³

a = 14.062 Å, b = 10.447 Å, c = 9.504 Å
α = 90.00°, β = 128.59°, γ = 90.00°
Space group C2/m (No. 12)
Unique sites:
Na: 0.000 0.000 0.000 [2 per cell]
Na: 0.216 0.500 0.250 [4 per cell]
Na: 0.231 0.500 0.892 [4 per cell]
Li: 0.000 0.247 0.500 [4 per cell]
Tl: 0.000 0.000 0.333 [4 per cell]
Tl: 0.056 0.500 0.393 [4 per cell]
Tl: 0.091 0.267 0.908 [8 per cell]
Tl: 0.210 0.181 0.328 [8 per cell]

***

Stability verdict: (1), ahead by 0.008 eV/atom

***

(1)
Density functional theory data (PBE) for a relaxed Na3LiTl5 crystal.

Properties
V   1016.5 Å³ per cell
DOS at the Fermi energy   0.52 states/eV/atom
Calculated density   7.2 g cm⁻³

a = 8.529 Å, b = 8.529 Å, c = 13.975 Å
α = 90.00°, β = 90.00°, γ = 90.00°
Space group I4/mcm (No. 140)
Unique sites:
Na: 0.000 0.000 0.250 [4 per cell]
Na: 0.118 0.382 0.000 [8 per cell]
Li: 0.000 0.500 0.250 [4 per cell]
Tl: 0.000 0.000 0.000 [4 per cell]
Tl: 0.194 0.306 0.358 [16 per cell]

***

(2)
Density functional theory data (PBE) for a relaxed Na3LiTl5 crystal.

Properties
V   240.5 Å³ per cell
DOS at the Fermi energy   0.46 states/eV/atom
Calculated density   7.6 g cm⁻³

a = 8.9329 Å, b = 8.9329 Å, c = 3.4794 Å
α = 90.00°, β = 90.00°, γ = 120.00°
Space group P-62m (No. 189)
Unique sites:
Na: 0.0000 0.6265 0.0000 [3 per cell]
Li: 0.0000 0.0000 0.0000 [1 per cell]
Tl: 0.0000 0.2766 0.5000 [3 per cell]
Tl: 0.3333 0.6667 0.5000 [2 per cell]

***

Stability verdict: (2), ahead by 0.092 eV/atom

***

(1)
Density functional theory data (PBE) for a relaxed NaLi2Tl4 crystal.

Properties
V   354.4 Å³ per cell
DOS at the Fermi energy   0.43 states/eV/atom
Calculated density   8.0 g cm⁻³

a = 9.811 Å, b = 7.537 Å, c = 6.058 Å
α = 90.00°, β = 127.70°, γ = 90.00°
Space group C2/m (No. 12)
Unique sites:
Na: 0.000 0.000 0.000 [2 per cell]
Li: 0.001 0.500 0.248 [4 per cell]
Tl: 0.199 0.205 0.699 [8 per cell]

***

(2)
Density functional theory data (PBE) for a relaxed NaLi2Tl4 crystal.

Properties
V   568.0 Å³ per cell
DOS at the Fermi energy   0.46 states/eV/atom
Calculated density   7.5 g cm⁻³

a = 5.1405 Å, b = 5.1405 Å, c = 24.8217 Å
α = 90.00°, β = 90.00°, γ = 120.00°
Space group R-3m (No. 166, hexagonal axes)
Unique sites:
Na: 0.0000 0.0000 0.0000 [3 per cell]
Li: 0.0000 0.0000 0.1256 [6 per cell]
Tl: 0.0000 0.0000 0.2410 [6 per cell]
Tl: 0.0000 0.0000 0.3905 [6 per cell]

***

Stability verdict: (1), ahead by 0.069 eV/atom